No. 1
# MoOsO2F

A relaxed MoOsO2F crystal (PBE+U, Alexandria via LeMat-Bulk). Values from VASP.

```
&SYSTEM
  ibrav = 0, nat = 5, ntyp = 4
/
ATOMIC_SPECIES
Mo 95.94 Mo.upf
Os 190.23 Os.upf
O 16.00 O.upf
F 19.00 F.upf
ATOMIC_POSITIONS crystal
Mo 0.000 0.000 0.000
Os 0.500 0.500 0.500
O 0.000 0.500 0.000
O 0.500 0.000 0.000
F 0.000 0.000 0.500
CELL_PARAMETERS angstrom
4.070 0.000 0.000
0.000 4.070 0.000
0.000 0.000 4.199
```

Computed properties:
**E**: -6.02 eV per atom
**DOS at the Fermi energy**: 4.38 states/eV/cell
**Symmetry**: No. 123



No. 2
# MoOsOF2

A relaxed MoOsOF2 crystal (PBE+U, Alexandria via LeMat-Bulk). Values from VASP.

```
&SYSTEM
  ibrav = 0, nat = 5, ntyp = 4
/
ATOMIC_SPECIES
Mo 95.94 Mo.upf
Os 190.23 Os.upf
O 16.00 O.upf
F 19.00 F.upf
ATOMIC_POSITIONS crystal
Mo 0.000 0.000 0.000
Os 0.500 0.500 0.500
O 0.500 0.500 0.000
F 0.000 0.500 0.500
F 0.500 0.000 0.500
CELL_PARAMETERS angstrom
4.454 0.000 0.000
0.000 4.454 0.000
0.000 0.000 3.747
```

Computed properties:
**Relative energy among the computed polymorphs**: 0.000 eV/f.u.
**E**: -5.77 eV per atom
**DOS at the Fermi energy**: 2.45 states/eV/cell
**Symmetry**: No. 123



No. 3
# MoOsOF2

A relaxed MoOsOF2 crystal (PBE+U, Alexandria via LeMat-Bulk). Values from VASP.

```
&SYSTEM
  ibrav = 0, nat = 5, ntyp = 4
/
ATOMIC_SPECIES
Mo 95.94 Mo.upf
Os 190.23 Os.upf
O 16.00 O.upf
F 19.00 F.upf
ATOMIC_POSITIONS crystal
Mo 0.000 0.000 0.000
Os 0.500 0.500 0.500
O 0.000 0.000 0.500
F 0.000 0.500 0.000
F 0.500 0.000 0.000
CELL_PARAMETERS angstrom
4.234 0.000 0.000
0.000 4.234 0.000
0.000 0.000 4.242
```

Computed properties:
**Relative energy among the computed polymorphs**: 1.073 eV/f.u.
**E**: -5.56 eV per atom
**DOS at the Fermi energy**: 5.47 states/eV/cell
**Symmetry**: No. 123



No. 4
# MoOsO2F

A relaxed MoOsO2F crystal (PBE+U, Alexandria via LeMat-Bulk). Values from VASP.

```
&SYSTEM
  ibrav = 0, nat = 5, ntyp = 4
/
ATOMIC_SPECIES
Mo 95.94 Mo.upf
Os 190.23 Os.upf
O 16.00 O.upf
F 19.00 F.upf
ATOMIC_POSITIONS crystal
Mo 0.000 0.000 0.000
Os 0.500 0.500 0.500
O 0.000 0.500 0.500
O 0.500 0.000 0.500
F 0.500 0.500 0.000
CELL_PARAMETERS angstrom
3.681 0.000 0.000
0.000 3.681 0.000
0.000 0.000 6.646
```

Computed properties:
**E**: -6.57 eV per atom
**DOS at the Fermi energy**: 2.47 states/eV/cell
**Symmetry**: No. 123